Computed, not measured: a geometry-optimized Mo3SF structure at the PBE+U level of DFT.

For the excess energy over the best structure of this formula in the dataset, the calculation gives 0 meV per atom. The value obtained for the total energy is -23.42 eV per cell. The total magnetization comes out at 14.8 Bohr magnetons per cell. The value obtained for the volume is 27.35 Å³/atom.

The space group is Pm-3m (No. 221) and the conventional cell measures 5.152, 5.152 and 5.152 Å, with angles of 90.00, 90.00 and 90.00 degrees. Symmetry generates all atoms from Mo at (0.000, 0.000, 0.500), S at (0.000, 0.000, 0.000) and F at (0.500, 0.500, 0.500).